1.
Ba2NpSnS6 | PBE-GGA | optimized geometry

Summary:
* volume: 26.95 Å³ per atom
* magnetic moment: 3.0 μB per formula unit
* ΔE_f (raw): -1362.7 meV/atom

Geometry as CIF:
```
data_Ba2NpSnS6
_chemical_formula_sum 'Ba4 Np2 Sn2 S12'
_cell_length_a 7.154
_cell_length_b 7.353
_cell_length_c 12.478
_cell_angle_alpha 90.00
_cell_angle_beta 124.79
_cell_angle_gamma 90.00
_space_group_name_H-M_alt 'P 1 21/c 1'
_space_group_IT_number 14
loop_
_space_group_symop_operation_xyz
'x,y,z'
'-x,-y,-z'
'-x,y+1/2,-z+1/2'
'x,-y+1/2,z+1/2'
loop_
_atom_site_label
_atom_site_fract_x
_atom_site_fract_y
_atom_site_fract_z
Ba1 0.233 0.059 0.249
Np1 0.500 0.000 0.000
Sn1 0.000 0.000 0.500
S1 0.167 0.205 0.961
S2 0.256 0.705 0.960
S3 0.325 0.010 0.750
```



2.
BaSr2NpS6 | PBE-GGA | optimized geometry

Summary:
* volume: 28.76 Å³ per atom
* magnetic moment: 1.0 μB per formula unit
* ΔE_f (raw): -1611.3 meV/atom

Geometry as CIF:
```
data_BaSr2NpS6
_chemical_formula_sum 'Ba2 Sr4 Np2 S12'
_cell_length_a 7.129
_cell_length_b 7.812
_cell_length_c 12.344
_cell_angle_alpha 90.00
_cell_angle_beta 123.22
_cell_angle_gamma 90.00
_space_group_name_H-M_alt 'P 1 21/c 1'
_space_group_IT_number 14
loop_
_space_group_symop_operation_xyz
'x,y,z'
'-x,-y,-z'
'-x,y+1/2,-z+1/2'
'x,-y+1/2,z+1/2'
loop_
_atom_site_label
_atom_site_fract_x
_atom_site_fract_y
_atom_site_fract_z
Ba1 0.000 0.000 0.000
Sr1 0.206 0.070 0.730
Np1 0.500 0.000 0.500
S1 0.161 0.166 0.454
S2 0.247 0.731 0.403
S3 0.418 0.083 0.278
```



3.
Ba2SrNpS6 | PBE-GGA | optimized geometry

Summary:
* volume: 29.25 Å³ per atom
* magnetic moment: 1.0 μB per formula unit
* ΔE_f (raw): -1672.3 meV/atom

Geometry as CIF:
```
data_Ba2SrNpS6
_chemical_formula_sum 'Ba4 Sr2 Np2 S12'
_cell_length_a 7.270
_cell_length_b 7.682
_cell_length_c 12.745
_cell_angle_alpha 90.00
_cell_angle_beta 124.71
_cell_angle_gamma 90.00
_space_group_name_H-M_alt 'P 1 21/c 1'
_space_group_IT_number 14
loop_
_space_group_symop_operation_xyz
'x,y,z'
'-x,-y,-z'
'-x,y+1/2,-z+1/2'
'x,-y+1/2,z+1/2'
loop_
_atom_site_label
_atom_site_fract_x
_atom_site_fract_y
_atom_site_fract_z
Ba1 0.231 0.070 0.252
Sr1 0.500 0.000 0.000
Np1 0.000 0.000 0.500
S1 0.121 0.221 0.944
S2 0.236 0.682 0.952
S3 0.330 0.031 0.731
```



4.
BaSrNpS4 | PBE-GGA | optimized geometry

Summary:
* volume: 29.56 Å³ per atom
* magnetic moment: 3.0 μB per formula unit
* ΔE_f (raw): -1688.0 meV/atom

Geometry as CIF:
```
data_BaSrNpS4
_chemical_formula_sum 'Ba2 Sr2 Np2 S8'
_cell_length_a 5.162
_cell_length_b 5.162
_cell_length_c 15.531
_cell_angle_alpha 90.00
_cell_angle_beta 90.00
_cell_angle_gamma 90.00
_space_group_name_H-M_alt 'I 4 m m'
_space_group_IT_number 107
_space_group_name_Hall 'I 4 -2'
loop_
_atom_site_label
_atom_site_fract_x
_atom_site_fract_y
_atom_site_fract_z
Ba1 0.000 0.000 0.000
Sr1 0.000 0.000 0.723
Np1 0.000 0.000 0.361
S1 0.000 0.000 0.193
S2 0.000 0.000 0.533
S3 0.000 0.500 0.357
```



5.
Ba2NpTaS6 | PBE-GGA | optimized geometry

Summary:
* volume: 26.02 Å³ per atom
* magnetic moment: 3.1 μB per formula unit
* ΔE_f (raw): -1530.5 meV/atom

Geometry as CIF:
```
data_Ba2NpTaS6
_chemical_formula_sum 'Ba12 Np6 Ta6 S36'
_cell_length_a 7.0547
_cell_length_b 7.0547
_cell_length_c 36.2172
_cell_angle_alpha 90.00
_cell_angle_beta 90.00
_cell_angle_gamma 120.00
_space_group_name_H-M_alt 'R -3 m'
_space_group_IT_number 166
_space_group_name_Hall '-R 3 2"'
loop_
_atom_site_label
_atom_site_fract_x
_atom_site_fract_y
_atom_site_fract_z
Ba1 0.0000 0.0000 0.1317
Ba2 0.0000 0.0000 0.2958
Np1 0.0000 0.0000 0.4148
Ta1 0.0000 0.0000 0.0000
Ta2 0.0000 0.0000 0.5000
S1 0.0034 0.5017 0.8725
S2 0.0090 0.5045 0.7060
```



6.
Ba2TbNpS6 | PBE-GGA | optimized geometry

Summary:
* volume: 27.85 Å³ per atom
* magnetic moment: 2.0 μB per formula unit
* ΔE_f (raw): -1790.7 meV/atom

Geometry as CIF:
```
data_Ba2TbNpS6
_chemical_formula_sum 'Ba4 Tb2 Np2 S12'
_cell_length_a 7.216
_cell_length_b 7.461
_cell_length_c 12.608
_cell_angle_alpha 90.00
_cell_angle_beta 124.85
_cell_angle_gamma 90.00
_space_group_name_H-M_alt 'P 1 21/c 1'
_space_group_IT_number 14
loop_
_space_group_symop_operation_xyz
'x,y,z'
'-x,-y,-z'
'-x,y+1/2,-z+1/2'
'x,-y+1/2,z+1/2'
loop_
_atom_site_label
_atom_site_fract_x
_atom_site_fract_y
_atom_site_fract_z
Ba1 0.235 0.059 0.250
Tb1 0.500 0.000 0.000
Np1 0.000 0.000 0.500
S1 0.154 0.212 0.956
S2 0.247 0.700 0.958
S3 0.325 0.019 0.744
```